(1)
Crystalline CaSmY at its relaxed geometry. Source: Alexandria, functional PBE.

Geometry as extended XYZ:
```
6
Lattice="3.697 0.000 0.000 -1.849 3.202 0.000 0.000 0.000 18.128" Properties=species:S:1:pos:R:3 pbc="T T T"
Sm 0.000 2.134 7.569
Ca 0.000 2.134 1.668
Sm 1.849 1.067 10.559
Y 1.849 1.067 4.771
Ca 1.849 1.067 16.459
Y 0.000 2.134 13.357
```

- total magnetic moment (μB per formula unit) = 0.05
- DOS(E_F) (states/eV per cell) = 10.25
- E above lowest polymorph (meV/atom) = 5
- E_tot (eV per cell) = -26.1
- energy of formation from the pure elements (eV per atom) = 0.04
- crystal system = trigonal

(2)
Crystalline Tl2Cd3Hg8 at its relaxed geometry. Source: Alexandria, functional PBE.

Geometry as extended XYZ:
```
13
Lattice="6.152 0.000 0.525 0.000 8.032 0.000 -2.029 -4.016 7.362" Properties=species:S:1:pos:R:3 pbc="T T T"
Hg 5.467 4.016 2.235
Hg 2.388 5.503 1.698
Tl 2.757 4.016 4.484
Hg 1.735 1.488 6.189
Cd 0.000 6.527 0.000
Hg -1.344 0.000 5.652
Cd 0.000 1.505 0.000
Cd 3.076 0.000 0.262
Hg 1.735 -1.488 6.189
Hg 2.388 2.528 1.698
Hg -0.435 4.016 4.847
Hg 4.558 0.000 3.040
Tl 1.366 0.000 3.403
```

- total magnetic moment (μB per formula unit) = 0.00
- DOS(E_F) (states/eV per cell) = 4.41
- E above lowest polymorph (meV/atom) = 33
- E_tot (eV per cell) = -9.3
- energy of formation from the pure elements (eV per atom) = 0.05
- crystal system = monoclinic

(3)
Crystalline TbLuScAl at its relaxed geometry. Source: Alexandria, functional PBE.

Geometry as extended XYZ:
```
4
Lattice="5.197 0.000 0.000 2.598 4.501 0.000 2.598 1.500 4.243" Properties=species:S:1:pos:R:3 pbc="T T T"
Tb 2.598 1.500 1.061
Lu 7.795 4.501 3.182
Al 5.197 3.000 2.122
Sc 0.000 0.000 0.000
```

- total magnetic moment (μB per formula unit) = 0.01
- DOS(E_F) (states/eV per cell) = 5.16
- E_tot (eV per cell) = -19.6
- energy of formation from the pure elements (eV per atom) = -0.10
- crystal system = cubic

(4)
Crystalline PmCdBiRh at its relaxed geometry. Source: Alexandria, functional PBE.

Geometry as extended XYZ:
```
4
Lattice="5.081 0.000 0.000 2.541 4.401 0.000 2.541 1.467 4.149" Properties=species:S:1:pos:R:3 pbc="T T T"
Rh 2.541 1.467 1.037
Bi 0.000 0.000 0.000
Pm 5.081 2.934 2.074
Cd 7.622 4.401 3.112
```

- total magnetic moment (μB per formula unit) = 0.00
- DOS(E_F) (states/eV per cell) = 2.84
- E_tot (eV per cell) = -18.2
- energy of formation from the pure elements (eV per atom) = -0.32
- crystal system = cubic